Material: Sr2LaCd
Method: DFT, PBE-GGA
State: relaxed

a = 4.6304 Å, b = 5.6970 Å, c = 5.7974 Å
α = 90.00°, β = 90.00°, γ = 90.00°
Sites, in units of the cell vectors:
Cd (0.5000, 0.0000, 0.5000)
La (0.0000, 0.5000, 0.5000)
Sr (0.0000, 0.0000, 0.0000)
Sr (0.5000, 0.5000, 0.0000)

Results
**Total moment**: 0.00 μB per formula unit
**Energy of formation from the pure elements**: 0.004 eV/atom
**Theoretical density**: 4.632 g/cm3
**Crystal system**: orthorhombic

***

Material: SrLaCd4
Method: DFT, PBE-GGA
State: relaxed

a = 4.2917 Å, b = 10.8324 Å, c = 4.2923 Å
α = 89.99°, β = 90.00°, γ = 90.00°
Sites, in units of the cell vectors:
Sr (0.5000, 0.5000, 0.5000)
La (0.0000, 0.0000, 0.0000)
Cd (0.5000, 0.7593, 0.0008)
Cd (0.5000, 0.2407, 0.9992)
Cd (0.0000, 0.2407, 0.4993)
Cd (0.0000, 0.7593, 0.5007)

Results
**Total moment**: 0.00 μB per formula unit
**Energy of formation from the pure elements**: -0.073 eV/atom
**Theoretical density**: 5.627 g/cm3
**Crystal system**: tetragonal

***

Material: SrLa3Cd
Method: DFT, PBE-GGA
State: relaxed

a = 5.9441 Å, b = 5.9441 Å, c = 5.9441 Å
α = 90.00°, β = 90.00°, γ = 90.00°
Sites, in units of the cell vectors:
Sr (0.0000, 0.0000, 0.0000)
Cd (0.5000, 0.5000, 0.5000)
La (0.0000, 0.5000, 0.0000)
La (0.0000, 0.0000, 0.5000)
La (0.5000, 0.0000, 0.0000)

Results
**Total moment**: 0.00 μB per formula unit
**Energy of formation from the pure elements**: 0.871 eV/atom
**Theoretical density**: 4.876 g/cm3
**Crystal system**: cubic

***

Material: Sr2LaCd
Method: DFT, PBE-GGA
State: relaxed

a = 6.7865 Å, b = 6.7865 Å, c = 6.7865 Å
α = 135.13°, β = 135.13°, γ = 65.33°
Sites, in units of the cell vectors:
Cd (0.2500, 0.7500, 0.5000)
La (0.7500, 0.2500, 0.5000)
Sr (0.0000, 0.0000, 0.0000)
Sr (0.5000, 0.5000, 0.0000)

Results
**Total moment**: 0.01 μB per formula unit
**Energy of formation from the pure elements**: 0.055 eV/atom
**Theoretical density**: 4.620 g/cm3
**Crystal system**: tetragonal

***

Material: SrLa2CdTc
Method: DFT, PBE-GGA
State: relaxed

a = 5.3872 Å, b = 5.3872 Å, c = 5.7264 Å
α = 90.00°, β = 90.00°, γ = 90.00°
Sites, in units of the cell vectors:
Sr (0.5000, 0.5000, 0.5000)
Cd (0.0000, 0.0000, 0.5000)
Tc (0.0000, 0.0000, 0.0000)
La (0.0000, 0.5000, 0.0000)
La (0.5000, 0.0000, 0.0000)

Results
**Total moment**: 0.00 μB per formula unit
**Energy of formation from the pure elements**: 0.003 eV/atom
**Theoretical density**: 5.754 g/cm3
**Crystal system**: tetragonal

***

Material: SrLaCd2Tc
Method: DFT, PBE-GGA
State: relaxed

a = 5.5232 Å, b = 4.9678 Å, c = 5.5232 Å
α = 90.00°, β = 90.00°, γ = 90.00°
Sites, in units of the cell vectors:
Sr (0.5000, 0.5000, 0.5000)
Cd (0.0000, 0.0000, 0.5000)
Cd (0.5000, 0.0000, 0.0000)
Tc (0.0000, 0.0000, 0.0000)
La (0.0000, 0.5000, 0.0000)

Results
**Total moment**: 0.00 μB per formula unit
**Energy of formation from the pure elements**: 0.029 eV/atom
**Theoretical density**: 6.019 g/cm3
**Crystal system**: tetragonal

***

Material: SrLaTl2Cd
Method: DFT, PBE-GGA
State: relaxed

a = 5.8353 Å, b = 5.6985 Å, c = 5.8353 Å
α = 90.00°, β = 90.00°, γ = 90.00°
Sites, in units of the cell vectors:
Sr (0.0000, 0.0000, 0.0000)
Tl (0.0000, 0.0000, 0.5000)
Tl (0.5000, 0.0000, 0.0000)
Cd (0.0000, 0.5000, 0.0000)
La (0.5000, 0.5000, 0.5000)

Results
**Total moment**: 0.00 μB per formula unit
**Energy of formation from the pure elements**: 0.422 eV/atom
**Theoretical density**: 6.399 g/cm3
**Crystal system**: tetragonal

***

Material: SrLaCdW2
Method: DFT, PBE-GGA
State: relaxed

a = 5.1469 Å, b = 5.6387 Å, c = 5.1469 Å
α = 90.00°, β = 90.00°, γ = 90.00°
Sites, in units of the cell vectors:
Sr (0.5000, 0.5000, 0.5000)
Cd (0.0000, 0.0000, 0.0000)
W (0.0000, 0.0000, 0.5000)
W (0.5000, 0.0000, 0.0000)
La (0.0000, 0.5000, 0.0000)

Results
**Total moment**: 0.00 μB per formula unit
**Energy of formation from the pure elements**: 1.886 eV/atom
**Theoretical density**: 7.855 g/cm3
**Crystal system**: tetragonal

***

Among the records above, which one has the lowest theoretical density?
number 4

***

energy of formation from the pure elements of number 4 (Sr2LaCd)?
0.055 eV/atom